First-principles (GGA+U) data for a geometry-optimized VIrRu2F structure, as listed in Alexandria.

Computed properties:
Raw total energy ... -6.53 eV/atom

abc: 4.1742 4.1742 3.9185
angles: 90.00 90.00 90.00
With the nearest neighbours (Å) after each atom.
Space group P4/mmm (No. 123)
Asymmetric unit:
V (0.0000, 0.0000, 0.0000) (multiplicity 1)  2 F 1.96
Ir (0.5000, 0.5000, 0.0000) (multiplicity 1)  8 Ru 2.86, 4 V 2.95
Ru (0.0000, 0.5000, 0.5000) (multiplicity 2)  2 F 2.09
F (0.0000, 0.0000, 0.5000) (multiplicity 1)  2 V 1.96, 4 Ru 2.09